(1)
Below is a relaxed structure of RbTl5Bi3, with properties calculated at the PBE-GGA level.

```
18
Lattice="9.789 0.000 0.000 -4.894 8.477 0.000 0.000 0.000 7.214" Properties=species:S:1:pos:R:3 pbc="T T T"
Rb 0.000 0.000 0.000
Rb 0.000 0.000 3.607
Tl -1.618 2.802 1.803
Tl -3.277 5.675 5.410
Tl 3.235 0.000 1.803
Tl 1.618 2.802 5.410
Tl 0.000 5.651 0.000
Tl 0.000 5.651 3.607
Tl 4.894 2.826 0.000
Tl 4.894 2.826 3.607
Tl 6.553 0.000 5.410
Tl 3.277 5.675 1.803
Bi -1.709 2.959 5.410
Bi -3.186 5.518 1.803
Bi 3.417 0.000 5.410
Bi 1.709 2.959 1.803
Bi 6.371 0.000 1.803
Bi 3.186 5.518 5.410
```

Properties
Uncorrected energy = -2.76 eV/atom
Symmetry = P6_3/mcm
N(E_F) = 0.45 states/eV per atom

=====

(2)
Below is a relaxed structure of SbMoCl2, with properties calculated at the PBE-GGA level.

```
4
Lattice="3.072 -4.475 0.000 3.072 4.475 0.000 0.000 0.000 3.164" Properties=species:S:1:pos:R:3 pbc="T T T"
Sb 0.000 0.000 0.000
Mo 3.072 0.000 0.000
Cl 1.536 2.237 1.582
Cl 1.536 -2.237 1.582
```

Properties
Energy above the lowest structure with this stoichiometry = 0.954 eV/atom
Raw formation energy = 2.601 eV per formula unit
Symmetry = Cmmm
N(E_F) = 1.06 states/eV per atom

=====

(3)
Below is a relaxed structure of TmTiInCu, with properties calculated at the PBE-GGA level.

```
4
Lattice="0.000 3.434 3.434 3.434 0.000 3.434 3.434 3.434 0.000" Properties=species:S:1:pos:R:3 pbc="T T T"
Tm 0.000 0.000 0.000
Ti 3.434 3.434 3.434
In 5.151 5.151 5.151
Cu 1.717 1.717 1.717
```

Properties
Uncorrected energy = -4.90 eV/atom
Symmetry = F-43m
N(E_F) = 0.60 states/eV per atom

=====

(4)
Below is a relaxed structure of LiGaPb2, with properties calculated at the PBE-GGA level.

```
4
Lattice="3.755 0.000 0.000 0.000 3.755 0.000 0.000 0.000 6.959" Properties=species:S:1:pos:R:3 pbc="T T T"
Li 0.000 0.000 0.000
Ga 0.000 0.000 3.479
Pb 1.877 1.877 1.734
Pb 1.877 1.877 5.225
```

Properties
Uncorrected energy = -3.17 eV/atom
Symmetry = P4/mmm
N(E_F) = 0.32 states/eV per atom